# 1
A relaxed CaCdCo2Ru crystal. Source: the Alexandria database, functional PBE-GGA.

Unit cell a=4.740 b=5.006 c=4.740 alpha=90.00 beta=90.00 gamma=90.00
Fractional coordinates of all 5 atoms:
Cd  0.000  0.000  0.000
Co  0.500  0.000  0.000
Co  0.000  0.000  0.500
Ru  0.000  0.500  0.000
Ca  0.500  0.500  0.500

## Properties
Crystal system   tetragonal
Space-group type   No. 123
Electronic total energy   -3.97 eV/atom
Total moment   4.2 μB/cell

---

# 2
A relaxed CaCd2CoSn crystal. Source: the Alexandria database, functional PBE-GGA.

Unit cell a=5.029 b=5.029 c=4.835 alpha=90.00 beta=90.00 gamma=90.00
Fractional coordinates of all 5 atoms:
Ca  0.500  0.500  0.500
Co  0.000  0.000  0.000
Cd  0.000  0.500  0.000
Cd  0.500  0.000  0.000
Sn  0.000  0.000  0.500

## Properties
Crystal system   tetragonal
Space-group type   No. 123
Electronic total energy   -3.08 eV/atom
Total moment   0.7 μB/cell

---

# 3
A relaxed CaY2CdCo crystal. Source: the Alexandria database, functional PBE-GGA.

Unit cell a=5.132 b=5.132 c=5.241 alpha=90.00 beta=90.00 gamma=90.00
Fractional coordinates of all 5 atoms:
Y  0.500  0.000  0.000
Y  0.000  0.500  0.000
Cd  0.000  0.000  0.500
Co  0.000  0.000  0.000
Ca  0.500  0.500  0.500

## Properties
Crystal system   tetragonal
Space-group type   No. 123
Electronic total energy   -4.66 eV/atom
Total moment   0.0 μB/cell

---

# 4
A relaxed CaY2CdCo crystal. Source: the Alexandria database, functional PBE-GGA.

Unit cell a=5.152 b=5.152 c=5.410 alpha=90.00 beta=90.00 gamma=90.00
Fractional coordinates of all 5 atoms:
Ca  0.000  0.000  0.500
Cd  0.500  0.500  0.500
Y  0.500  0.000  0.000
Y  0.000  0.500  0.000
Co  0.000  0.000  0.000

## Properties
Crystal system   tetragonal
Space-group type   No. 123
Electronic total energy   -4.63 eV/atom
Total moment   0.0 μB/cell

---

# 5
A relaxed Ca2CrCd crystal. Source: the Alexandria database, functional PBE-GGA.

Unit cell a=5.423 b=5.423 c=3.764 alpha=90.01 beta=90.01 gamma=89.98
Fractional coordinates of all 4 atoms:
Ca  0.500  0.500  0.000
Ca  0.000  0.000  0.000
Cd  0.500  0.000  0.500
Cr  0.000  0.500  0.500

## Properties
Crystal system   tetragonal
Space-group type   No. 123
Electronic total energy   -3.46 eV/atom
Total moment   4.8 μB/cell

---

# 6
A relaxed CaCr2Cd crystal. Source: the Alexandria database, functional PBE-GGA.

Unit cell a=5.387 b=5.387 c=5.387 alpha=136.58 beta=136.58 gamma=63.08
Fractional coordinates of all 4 atoms:
Cr  0.000  0.000  0.000
Cr  0.500  0.500  0.000
Ca  0.250  0.750  0.500
Cd  0.750  0.250  0.500

## Properties
Crystal system   tetragonal
Space-group type   No. 139
Electronic total energy   -4.54 eV/atom
Total moment   2.0 μB/cell

---

# 7
A relaxed Ca2CrCd crystal. Source: the Alexandria database, functional PBE-GGA.

Unit cell a=5.808 b=5.808 c=5.808 alpha=131.55 beta=131.55 gamma=70.95
Fractional coordinates of all 4 atoms:
Ca  0.000  0.000  0.000
Ca  0.250  0.750  0.500
Cd  0.500  0.500  0.000
Cr  0.750  0.250  0.500

## Properties
Crystal system   tetragonal
Space-group type   No. 119
Electronic total energy   -3.40 eV/atom
Total moment   4.6 μB/cell

---

# 8
A relaxed CaCrCd3 crystal. Source: the Alexandria database, functional PBE-GGA.

Unit cell a=5.851 b=5.851 c=5.851 alpha=90.00 beta=90.00 gamma=90.00
Fractional coordinates of all 5 atoms:
Cr  0.500  0.500  0.500
Cd  0.500  0.000  0.000
Cd  0.000  0.000  0.500
Cd  0.000  0.500  0.000
Ca  0.000  0.000  0.000

## Properties
Crystal system   cubic
Space-group type   No. 221
Electronic total energy   -1.86 eV/atom
Total moment   4.9 μB/cell

---

# 9
A relaxed Ca2CrCd crystal. Source: the Alexandria database, functional PBE-GGA.

Unit cell a=8.472 b=8.472 c=6.837 alpha=51.72 beta=51.72 gamma=90.00
Fractional coordinates of all 8 atoms:
Ca  0.622  0.125  0.250
Ca  0.128  0.625  0.250
Ca  0.875  0.872  0.750
Ca  0.375  0.378  0.750
Cr  0.250  0.750  0.500
Cr  0.500  0.500  0.000
Cd  0.000  0.000  0.000
Cd  0.750  0.250  0.500

## Properties
Crystal system   tetragonal
Space-group type   No. 122
Electronic total energy   -3.17 eV/atom
Total moment   8.6 μB/cell

---

# 10
A relaxed Ca2CrCd crystal. Source: the Alexandria database, functional PBE-GGA.

Unit cell a=6.161 b=6.161 c=5.600 alpha=71.88 beta=71.88 gamma=33.73
Fractional coordinates of all 4 atoms:
Ca  0.772  0.772  0.699
Ca  0.979  0.979  0.050
Cd  0.527  0.527  0.512
Cr  0.222  0.222  0.238

## Properties
Crystal system   monoclinic
Space-group type   No. 8
Electronic total energy   -3.44 eV/atom
Total moment   4.5 μB/cell

---

# 11
A relaxed Ca2CrCd crystal. Source: the Alexandria database, functional PBE-GGA.

Unit cell a=6.299 b=6.299 c=6.299 alpha=144.02 beta=129.56 gamma=63.50
Fractional coordinates of all 4 atoms:
Cr  0.722  0.222  0.500
Ca  0.982  0.982  0.000
Ca  0.268  0.768  0.500
Cd  0.528  0.528  0.000

## Properties
Crystal system   orthorhombic
Space-group type   No. 44
Electronic total energy   -3.44 eV/atom
Total moment   4.6 μB/cell

---

# 12
A relaxed Ca2CrCd crystal. Source: the Alexandria database, functional PBE-GGA.

Unit cell a=3.734 b=3.735 c=8.214 alpha=90.00 beta=90.00 gamma=90.00
Fractional coordinates of all 4 atoms:
Cr  0.500  0.500  0.703
Ca  0.000  0.000  0.947
Ca  0.500  0.500  0.303
Cd  0.000  0.000  0.548

## Properties
Crystal system   tetragonal
Space-group type   No. 99
Electronic total energy   -3.43 eV/atom
Total moment   4.4 μB/cell